# 1
A plane-wave DFT calculation with PBE-GGA was carried out for a geometry-optimized Fe2MoRu structure.

Summary:
DFT formation energy	14.1	kJ per mole of atoms
electronic total energy	-36.45	eV for the cell shown
symmetry	No. 65

Structure (POSCAR):
```
Fe2MoRu
1.0
2.641 -3.612 0.000
2.641 3.612 0.000
0.000 0.000 2.653
Fe Mo Ru
2 1 1
Direct
0.000 0.500 0.000
0.500 0.000 0.000
0.000 0.000 0.500
0.500 0.500 0.500
```

=====

# 2
A plane-wave DFT calculation with PBE-GGA was carried out for a geometry-optimized Fe2MoRu structure.

Summary:
DFT formation energy	73.2	kJ per mole of atoms
electronic total energy	-68.00	eV for the cell shown
symmetry	No. 122

Structure (POSCAR):
```
Fe2MoRu
1.0
-3.262 3.262 2.576
3.262 -3.262 2.576
3.262 3.262 -2.576
Fe Mo Ru
4 2 2
Direct
0.125 0.625 0.000
0.375 0.375 0.500
0.625 0.125 0.000
0.875 0.875 0.500
0.000 0.000 0.000
0.750 0.250 0.500
0.250 0.750 0.500
0.500 0.500 0.000
```

=====

# 3
A plane-wave DFT calculation with PBE-GGA was carried out for a geometry-optimized Fe2MoRu structure.

Summary:
DFT formation energy	12.9	kJ per mole of atoms
electronic total energy	-36.50	eV for the cell shown
symmetry	No. 6

Structure (POSCAR):
```
Fe2MoRu
1.0
2.644 0.000 0.000
0.000 4.126 0.000
-1.089 0.000 4.931
Fe Mo Ru
2 1 1
Direct
0.000 0.000 0.000
0.201 0.500 0.777
0.747 0.500 0.261
0.476 0.000 0.521
```

=====

# 4
A plane-wave DFT calculation with PBE-GGA was carried out for a geometry-optimized FeMo2Ru structure.

Summary:
distance to the lowest polymorph of the same formula	69	meV/atom
DFT formation energy	16.4	kJ per mole of atoms
electronic total energy	-38.72	eV for the cell shown
symmetry	No. 99

Structure (POSCAR):
```
FeMo2Ru
1.0
2.686 0.000 0.000
0.000 2.686 0.000
0.000 0.000 7.933
Fe Mo Ru
1 2 1
Direct
0.000 0.000 0.000
0.000 0.000 0.528
0.500 0.500 0.242
0.500 0.500 0.784
```

=====

# 5
A plane-wave DFT calculation with PBE-GGA was carried out for a geometry-optimized FeMo2Ru structure.

Summary:
distance to the lowest polymorph of the same formula	0	meV/atom
DFT formation energy	9.7	kJ per mole of atoms
electronic total energy	-39.00	eV for the cell shown
symmetry	No. 139

Structure (POSCAR):
```
FeMo2Ru
1.0
-1.923 1.923 3.848
1.923 -1.923 3.848
1.923 1.923 -3.848
Fe Mo Ru
1 2 1
Direct
0.000 0.000 0.000
0.250 0.750 0.500
0.750 0.250 0.500
0.500 0.500 0.000
```

=====

# 6
A plane-wave DFT calculation with PBE-GGA was carried out for a geometry-optimized FeMo2Ru structure.

Summary:
distance to the lowest polymorph of the same formula	37	meV/atom
DFT formation energy	13.3	kJ per mole of atoms
electronic total energy	-38.85	eV for the cell shown
symmetry	No. 6

Structure (POSCAR):
```
FeMo2Ru
1.0
2.727 0.000 0.000
0.000 4.357 0.000
-0.457 0.000 4.825
Fe Mo Ru
1 2 1
Direct
0.000 0.000 0.000
0.432 0.000 0.495
0.631 0.500 0.178
0.038 0.500 0.689
```

=====

# 7
A plane-wave DFT calculation with PBE-GGA was carried out for a geometry-optimized FeMoRu structure.

Summary:
distance to the lowest polymorph of the same formula	70	meV/atom
DFT formation energy	18.2	kJ per mole of atoms
electronic total energy	-168.03	eV for the cell shown
symmetry	No. 46

Structure (POSCAR):
```
FeMoRu
1.0
-2.741 5.429 4.193
2.741 -5.429 4.193
2.741 5.429 -4.193
Fe Mo Ru
6 6 6
Direct
0.000 0.000 0.000
0.000 0.500 0.500
0.396 0.038 0.416
0.396 0.480 0.857
0.623 0.538 0.143
0.623 0.980 0.584
0.013 0.306 0.696
0.013 0.817 0.207
0.259 0.556 0.203
0.353 0.056 0.797
0.610 0.317 0.304
0.610 0.806 0.793
0.269 0.820 0.949
0.273 0.346 0.428
0.717 0.974 0.243
0.731 0.474 0.757
0.872 0.320 0.051
0.918 0.846 0.572
```

=====

# 8
A plane-wave DFT calculation with PBE-GGA was carried out for a geometry-optimized FeMoRu structure.

Summary:
distance to the lowest polymorph of the same formula	33	meV/atom
DFT formation energy	14.6	kJ per mole of atoms
electronic total energy	-28.12	eV for the cell shown
symmetry	No. 156

Structure (POSCAR):
```
FeMoRu
1.0
4.274 0.000 0.000
-2.137 3.701 0.000
0.000 0.000 2.679
Fe Mo Ru
1 1 1
Direct
0.000 0.000 0.000
0.667 0.333 0.321
0.333 0.667 0.676
```

=====

# 9
A plane-wave DFT calculation with PBE-GGA was carried out for a geometry-optimized Fe2MoRu structure.

Summary:
DFT formation energy	10.9	kJ per mole of atoms
electronic total energy	-36.58	eV for the cell shown
symmetry	No. 139

Structure (POSCAR):
```
Fe2MoRu
1.0
-1.854 1.854 3.712
1.854 -1.854 3.712
1.854 1.854 -3.712
Fe Mo Ru
2 1 1
Direct
0.250 0.750 0.500
0.750 0.250 0.500
0.000 0.000 0.000
0.500 0.500 0.000
```

=====

# 10
A plane-wave DFT calculation with PBE-GGA was carried out for a geometry-optimized Fe2MoRu structure.

Summary:
DFT formation energy	19.4	kJ per mole of atoms
electronic total energy	-36.23	eV for the cell shown
symmetry	No. 65

Structure (POSCAR):
```
Fe2MoRu
1.0
1.532 -2.115 0.000
1.532 2.115 0.000
0.000 0.000 8.439
Fe Mo Ru
2 1 1
Direct
0.000 0.000 0.246
0.000 0.000 0.754
0.500 0.500 0.500
0.500 0.500 0.000
```

=====

# 11
A plane-wave DFT calculation with PBE-GGA was carried out for a geometry-optimized FeMoRu structure.

Summary:
distance to the lowest polymorph of the same formula	0	meV/atom
DFT formation energy	11.4	kJ per mole of atoms
electronic total energy	-28.21	eV for the cell shown
symmetry	No. 44

Structure (POSCAR):
```
FeMoRu
1.0
-1.353 1.903 4.045
1.353 -1.903 4.045
1.353 1.903 -4.045
Fe Mo Ru
1 1 1
Direct
0.000 0.000 0.000
0.670 0.670 0.000
0.343 0.343 0.000
```

=====

# 12
A plane-wave DFT calculation with PBE-GGA was carried out for a geometry-optimized Fe2MoRu structure.

Summary:
DFT formation energy	12.8	kJ per mole of atoms
electronic total energy	-36.50	eV for the cell shown
symmetry	No. 71

Structure (POSCAR):
```
Fe2MoRu
1.0
-1.549 2.072 4.219
1.549 -2.072 4.219
1.549 2.072 -4.219
Fe Mo Ru
2 1 1
Direct
0.247 0.247 0.000
0.753 0.753 0.000
0.000 0.500 0.500
0.500 0.000 0.500
```